{"formula": "Pa2BiOs", "functional": "PBE-GGA", "state": "optimized geometry", "energy_ev_per_atom": -8.757, "crystal_system": "trigonal", "lattice_angstrom": [[-1.852, -2.620, 2.484], [0.381, -3.993, -0.613], [5.670, -2.306, 5.110]], "species": ["Pa", "Pa", "Bi", "Os"], "frac_coords": [[0.066, 0.066, 0.803], [0.267, 0.267, 0.198], [0.499, 0.499, 0.503], [0.668, 0.668, 0.996]]}